Record 1
Crystalline Te3Os at its relaxed geometry, computed with GGA-PBE.

Lattice parameters (Å, degrees): 8.7332 8.7332 3.7442 90.00 90.00 120.19
Last column: nearest neighbours and their distance in Å.
Fractional positions:
Te 0.2080 0.4158 0.7500  2 Os 2.66
Te 0.2087 0.7913 0.7500  2 Os 2.66
Te 0.4158 0.2080 0.2500  2 Os 2.66
Te 0.5842 0.7920 0.7500  2 Os 2.66
Te 0.7913 0.2087 0.2500  2 Os 2.66
Te 0.7920 0.5842 0.2500  2 Os 2.66
Os 0.3336 0.6664 0.2500  6 Te 2.66
Os 0.6664 0.3336 0.7500  6 Te 2.66

Results
- DOS(E_F) (states/eV per cell) = 4.486
- formation energy (no corrections) (eV/atom) = 0.248

***

Record 2
Crystalline TbDy7Tl4 at its relaxed geometry, computed with GGA-PBE.

Lattice parameters (Å, degrees): 8.0062 8.0062 9.8017 119.25 119.25 42.30
Last column: nearest neighbours and their distance in Å.
Fractional positions:
Tb 0.0000 0.0000 0.0000  2 Dy 2.89
Dy 0.0679 0.0679 0.4065  3 Tl 3.19-3.25, 3 Dy 3.37-3.53, 1 Tb 3.56
Dy 0.2043 0.2043 0.8790  3 Tl 3.30-3.53, 5 Dy 3.53-3.61
Dy 0.2590 0.2590 0.3071  4 Tl 2.99-3.16
Dy 0.5000 0.5000 0.0000  2 Tb 2.89, 2 Tl 3.00
Dy 0.7410 0.7410 0.6929  4 Tl 2.99-3.16
Dy 0.7957 0.7957 0.1210  3 Tl 3.30-3.53, 5 Dy 3.53-3.61
Dy 0.9321 0.9321 0.5935  3 Tl 3.19-3.25, 3 Dy 3.37-3.53, 1 Tb 3.56
Tl 0.3146 0.3146 0.6629  6 Dy 3.00-3.30, 1 Tl 3.25
Tl 0.4521 0.4521 0.2869  4 Dy 2.99-3.25, 1 Tl 3.25
Tl 0.5479 0.5479 0.7131  4 Dy 2.99-3.25, 1 Tl 3.25
Tl 0.6854 0.6854 0.3371  6 Dy 3.00-3.30, 1 Tl 3.25

Results
- DOS(E_F) (states/eV per cell) = 13.645

***

Record 3
Crystalline CsReN3 at its relaxed geometry, computed with GGA-PBE.

Lattice parameters (Å, degrees): 8.7667 5.9501 7.3611 90.00 91.90 90.00
Last column: nearest neighbours and their distance in Å.
Fractional positions:
Cs 0.1555 0.1096 0.2457  6 N 3.06-3.39
Cs 0.1555 0.3904 0.7457  6 N 3.06-3.39
Cs 0.8445 0.6096 0.2543  6 N 3.06-3.39
Cs 0.8445 0.8904 0.7543  6 N 3.06-3.39
Re 0.4153 0.6528 0.4003  1 N 1.73
Re 0.4153 0.8472 0.9003  1 N 1.73
Re 0.5847 0.1528 0.0997  1 N 1.73
Re 0.5847 0.3472 0.5997  1 N 1.73
N 0.2224 0.5965 0.3687  1 Re 1.73
N 0.2224 0.9035 0.8687  1 Re 1.73
N 0.4318 0.5227 0.9909  1 N 1.23
N 0.4318 0.9773 0.4909  1 N 1.23
N 0.4594 0.6170 0.6678  3 Re 2.01-2.24
N 0.4594 0.8830 0.1678  3 Re 2.01-2.24
N 0.5406 0.1170 0.8322  3 Re 2.01-2.24
N 0.5406 0.3830 0.3322  3 Re 2.01-2.24
N 0.5682 0.0227 0.5091  1 N 1.23
N 0.5682 0.4773 0.0091  1 N 1.23
N 0.7776 0.0965 0.1313  1 Re 1.73
N 0.7776 0.4035 0.6313  1 Re 1.73

Results
- formation energy (no corrections) (eV/atom) = 0.036

***

| no. | electronic total energy (eV/atom) | M_tot (μB per atom) |
| --- | --- | --- |
| 1 | -4.92 | 0.00 |
| 2 | -3.87 | 0.00 |
| 3 | -7.62 | 0.00 |